Record 1
The following is a DFT calculation (PBE) of crystalline CaNiC at its relaxed geometry.

Summary:
Raw total energy ... -16.550 eV for the cell shown
Density ... 4.4 g/cm3
Spin magnetization ... 0.0 μB per formula unit
Distance to the lowest polymorph of the same formula ... 228 meV/atom
Calculated formation energy ... 0.15 eV/atom
V ... 13.89 A^3/atom

CIF file:
```
data_CaNiC
_space_group_name_H-M_alt 'P -6 m 2'
_space_group_IT_number 187
_space_group_name_Hall 'P -6 2'
_cell_length_a 3.4101
_cell_length_b 3.4101
_cell_length_c 4.1379
_cell_angle_alpha 90.00
_cell_angle_beta 90.00
_cell_angle_gamma 120.00
loop_
_atom_site_label
_atom_site_type_symbol
_atom_site_fract_x
_atom_site_fract_y
_atom_site_fract_z
_atom_site_occupancy
Ca1 Ca 0.0000 0.0000 0.0000 1
Ni1 Ni 0.3333 0.6667 0.5000 1
C1 C 0.6667 0.3333 0.5000 1
```


Record 2
The following is a DFT calculation (PBE) of crystalline Pr3Pu5S8 at its relaxed geometry.

Summary:
Raw total energy ... -446.844 eV for the cell shown
Density ... 8.6 g/cm3
Spin magnetization ... 28.4 μB per formula unit
V ... 22.92 A^3/atom

CIF file:
```
data_Pr3Pu5S8
_space_group_name_H-M_alt 'R -3 m'
_space_group_IT_number 166
_space_group_name_Hall '-R 3 2"'
_cell_length_a 8.0256
_cell_length_b 8.0256
_cell_length_c 19.7227
_cell_angle_alpha 90.00
_cell_angle_beta 90.00
_cell_angle_gamma 120.00
loop_
_atom_site_label
_atom_site_type_symbol
_atom_site_fract_x
_atom_site_fract_y
_atom_site_fract_z
_atom_site_occupancy
Pr1 Pr 0.0000 0.5000 0.0000 1
Pu1 Pu 0.0000 0.0000 0.0000 1
Pu2 Pu 0.0000 0.0000 0.5000 1
Pu3 Pu 0.0000 0.5000 0.5000 1
S1 S 0.0000 0.0000 0.2455 1
S2 S 0.0065 0.5032 0.7532 1
```


> Among the records above, which one has the lowest density?

CaNiC


Repeat the second record exactly.
The following is a DFT calculation (PBE) of crystalline Pr3Pu5S8 at its relaxed geometry.

Summary:
Raw total energy ... -446.844 eV for the cell shown
Density ... 8.6 g/cm3
Spin magnetization ... 28.4 μB per formula unit
V ... 22.92 A^3/atom

CIF file:
```
data_Pr3Pu5S8
_space_group_name_H-M_alt 'R -3 m'
_space_group_IT_number 166
_space_group_name_Hall '-R 3 2"'
_cell_length_a 8.0256
_cell_length_b 8.0256
_cell_length_c 19.7227
_cell_angle_alpha 90.00
_cell_angle_beta 90.00
_cell_angle_gamma 120.00
loop_
_atom_site_label
_atom_site_type_symbol
_atom_site_fract_x
_atom_site_fract_y
_atom_site_fract_z
_atom_site_occupancy
Pr1 Pr 0.0000 0.5000 0.0000 1
Pu1 Pu 0.0000 0.0000 0.0000 1
Pu2 Pu 0.0000 0.0000 0.5000 1
Pu3 Pu 0.0000 0.5000 0.5000 1
S1 S 0.0000 0.0000 0.2455 1
S2 S 0.0065 0.5032 0.7532 1
```


> Which value of density does entry 1 give?

4.4 g/cm3